Record 1
# RbSnC2S | Alexandria | PBE | relaxed
data_RbSnC2S
_cell_length_a 4.524
_cell_length_b 5.297
_cell_length_c 4.524
_cell_angle_alpha 90.00
_cell_angle_beta 90.00
_cell_angle_gamma 90.00
_symmetry_space_group_name_H-M 'P 1'
_symmetry_Int_Tables_number 1
loop_
_symmetry_equiv_pos_as_xyz
'x,y,z'
loop_
_atom_site_label
_atom_site_fract_x
_atom_site_fract_y
_atom_site_fract_z
S1 0.000 0.500 0.000
C1 0.000 0.000 0.500
Rb1 0.500 0.500 0.500
C2 0.500 0.000 0.000
Sn1 0.000 0.000 0.000
# - Raw formation energy: 1.602 eV/atom
# - Space group: P4/mmm
# - Volume: 21.68 A^3/atom
# - DFT total energy: -3.907 eV/atom
# - Size of the total moment: 0.38 μB/atom

=====

Record 2
# RbTa2CS | Alexandria | PBE | relaxed
data_RbTa2CS
_cell_length_a 4.291
_cell_length_b 5.799
_cell_length_c 4.291
_cell_angle_alpha 90.00
_cell_angle_beta 90.00
_cell_angle_gamma 90.00
_symmetry_space_group_name_H-M 'P 1'
_symmetry_Int_Tables_number 1
loop_
_symmetry_equiv_pos_as_xyz
'x,y,z'
loop_
_atom_site_label
_atom_site_fract_x
_atom_site_fract_y
_atom_site_fract_z
Ta1 0.500 0.000 0.000
S1 0.500 0.500 0.500
Rb1 0.000 0.500 0.000
Ta2 0.000 0.000 0.500
C1 0.000 0.000 0.000
# - Raw formation energy: 0.805 eV/atom
# - Space group: P4/mmm
# - Volume: 21.35 A^3/atom
# - DFT total energy: -6.800 eV/atom
# - Size of the total moment: 0.41 μB/atom

=====

Record 3
# RbSb3C | Alexandria | PBE | relaxed
data_RbSb3C
_cell_length_a 5.064
_cell_length_b 5.064
_cell_length_c 5.064
_cell_angle_alpha 90.00
_cell_angle_beta 90.00
_cell_angle_gamma 90.00
_symmetry_space_group_name_H-M 'P 1'
_symmetry_Int_Tables_number 1
loop_
_symmetry_equiv_pos_as_xyz
'x,y,z'
loop_
_atom_site_label
_atom_site_fract_x
_atom_site_fract_y
_atom_site_fract_z
Sb1 0.000 0.500 0.000
Sb2 0.000 0.000 0.500
C1 0.000 0.000 0.000
Sb3 0.500 0.000 0.000
Rb1 0.500 0.500 0.500
# - Raw formation energy: 0.857 eV/atom
# - Space group: Pm-3m
# - Volume: 25.98 A^3/atom
# - DFT total energy: -3.655 eV/atom
# - Size of the total moment: 0.00 μB/atom

=====

Record 4
# Rb3SbC | Alexandria | PBE | relaxed
data_Rb3SbC
_cell_length_a 6.011
_cell_length_b 6.011
_cell_length_c 6.011
_cell_angle_alpha 90.00
_cell_angle_beta 90.00
_cell_angle_gamma 90.00
_symmetry_space_group_name_H-M 'P 1'
_symmetry_Int_Tables_number 1
loop_
_symmetry_equiv_pos_as_xyz
'x,y,z'
loop_
_atom_site_label
_atom_site_fract_x
_atom_site_fract_y
_atom_site_fract_z
Rb1 0.000 0.500 0.000
Rb2 0.500 0.000 0.000
C1 0.000 0.000 0.000
Rb3 0.000 0.000 0.500
Sb1 0.500 0.500 0.500
# - Raw formation energy: 0.795 eV/atom
# - Space group: Pm-3m
# - Volume: 43.44 A^3/atom
# - DFT total energy: -2.454 eV/atom
# - Size of the total moment: 0.80 μB/atom

=====

Record 5
# RbSb2C | Alexandria | PBE | relaxed
data_RbSb2C
_cell_length_a 7.526
_cell_length_b 7.526
_cell_length_c 6.702
_cell_angle_alpha 55.84
_cell_angle_beta 55.84
_cell_angle_gamma 90.00
_symmetry_space_group_name_H-M 'P 1'
_symmetry_Int_Tables_number 1
loop_
_symmetry_equiv_pos_as_xyz
'x,y,z'
loop_
_atom_site_label
_atom_site_fract_x
_atom_site_fract_y
_atom_site_fract_z
Sb1 0.375 0.509 0.750
Rb1 0.750 0.250 0.500
C1 0.500 0.500 0.000
Sb2 0.491 0.125 0.250
C2 0.250 0.750 0.500
Sb3 0.259 0.625 0.250
Sb4 0.875 0.741 0.750
Rb2 0.000 0.000 0.000
# - Raw formation energy: 0.706 eV/atom
# - Space group: I-42d
# - Volume: 28.84 A^3/atom
# - DFT total energy: -3.903 eV/atom
# - Size of the total moment: 0.00 μB/atom

=====

Record 6
# Rb2SbC | Alexandria | PBE | relaxed
data_Rb2SbC
_cell_length_a 5.988
_cell_length_b 5.988
_cell_length_c 5.988
_cell_angle_alpha 60.00
_cell_angle_beta 60.00
_cell_angle_gamma 60.00
_symmetry_space_group_name_H-M 'P 1'
_symmetry_Int_Tables_number 1
loop_
_symmetry_equiv_pos_as_xyz
'x,y,z'
loop_
_atom_site_label
_atom_site_fract_x
_atom_site_fract_y
_atom_site_fract_z
Sb1 0.500 0.500 0.500
Rb1 0.750 0.750 0.750
C1 0.000 0.000 0.000
Rb2 0.250 0.250 0.250
# - Raw formation energy: 1.316 eV/atom
# - Space group: Fm-3m
# - Volume: 37.95 A^3/atom
# - DFT total energy: -2.504 eV/atom
# - Size of the total moment: 0.25 μB/atom

=====

Record 7
# RbTaSbC2 | Alexandria | PBE | relaxed
data_RbTaSbC2
_cell_length_a 4.431
_cell_length_b 5.387
_cell_length_c 4.431
_cell_angle_alpha 90.00
_cell_angle_beta 90.00
_cell_angle_gamma 90.00
_symmetry_space_group_name_H-M 'P 1'
_symmetry_Int_Tables_number 1
loop_
_symmetry_equiv_pos_as_xyz
'x,y,z'
loop_
_atom_site_label
_atom_site_fract_x
_atom_site_fract_y
_atom_site_fract_z
C1 0.500 0.000 0.000
Ta1 0.000 0.500 0.000
C2 0.000 0.000 0.500
Sb1 0.500 0.500 0.500
Rb1 0.000 0.000 0.000
# - Raw formation energy: 3.784 eV/atom
# - Space group: P4/mmm
# - Volume: 21.15 A^3/atom
# - DFT total energy: -3.294 eV/atom
# - Size of the total moment: 0.00 μB/atom

=====

Record 8
# RbSb2TeC | Alexandria | PBE | relaxed
data_RbSb2TeC
_cell_length_a 6.301
_cell_length_b 6.301
_cell_length_c 6.294
_cell_angle_alpha 90.00
_cell_angle_beta 90.00
_cell_angle_gamma 90.00
_symmetry_space_group_name_H-M 'P 1'
_symmetry_Int_Tables_number 1
loop_
_symmetry_equiv_pos_as_xyz
'x,y,z'
loop_
_atom_site_label
_atom_site_fract_x
_atom_site_fract_y
_atom_site_fract_z
Te1 0.000 0.000 0.500
C1 0.500 0.500 0.500
Sb1 0.500 0.000 0.000
Sb2 0.000 0.500 0.000
Rb1 0.000 0.000 0.000
# - Raw formation energy: 2.610 eV/atom
# - Space group: P4/mmm
# - Volume: 49.99 A^3/atom
# - DFT total energy: -1.706 eV/atom
# - Size of the total moment: 0.08 μB/atom

=====

Record 9
# RbSbTe2C | Alexandria | PBE | relaxed
data_RbSbTe2C
_cell_length_a 5.524
_cell_length_b 5.524
_cell_length_c 4.549
_cell_angle_alpha 90.00
_cell_angle_beta 90.00
_cell_angle_gamma 90.00
_symmetry_space_group_name_H-M 'P 1'
_symmetry_Int_Tables_number 1
loop_
_symmetry_equiv_pos_as_xyz
'x,y,z'
loop_
_atom_site_label
_atom_site_fract_x
_atom_site_fract_y
_atom_site_fract_z
Sb1 0.000 0.000 0.500
Te1 0.000 0.500 0.000
C1 0.000 0.000 0.000
Te2 0.500 0.000 0.000
Rb1 0.500 0.500 0.500
# - Raw formation energy: 0.679 eV/atom
# - Space group: P4/mmm
# - Volume: 27.76 A^3/atom
# - DFT total energy: -3.440 eV/atom
# - Size of the total moment: 0.00 μB/atom

=====

Record 10
# RbSb2TeC | Alexandria | PBE | relaxed
data_RbSb2TeC
_cell_length_a 4.889
_cell_length_b 4.889
_cell_length_c 5.623
_cell_angle_alpha 90.00
_cell_angle_beta 90.00
_cell_angle_gamma 90.00
_symmetry_space_group_name_H-M 'P 1'
_symmetry_Int_Tables_number 1
loop_
_symmetry_equiv_pos_as_xyz
'x,y,z'
loop_
_atom_site_label
_atom_site_fract_x
_atom_site_fract_y
_atom_site_fract_z
Sb1 0.000 0.500 0.000
C1 0.000 0.000 0.000
Rb1 0.500 0.500 0.500
Sb2 0.500 0.000 0.000
Te1 0.000 0.000 0.500
# - Raw formation energy: 0.766 eV/atom
# - Space group: P4/mmm
# - Volume: 26.88 A^3/atom
# - DFT total energy: -3.549 eV/atom
# - Size of the total moment: 0.00 μB/atom

=====

Record 11
# Rb2SbWC | Alexandria | PBE | relaxed
data_Rb2SbWC
_cell_length_a 6.459
_cell_length_b 4.323
_cell_length_c 6.459
_cell_angle_alpha 90.00
_cell_angle_beta 90.00
_cell_angle_gamma 90.00
_symmetry_space_group_name_H-M 'P 1'
_symmetry_Int_Tables_number 1
loop_
_symmetry_equiv_pos_as_xyz
'x,y,z'
loop_
_atom_site_label
_atom_site_fract_x
_atom_site_fract_y
_atom_site_fract_z
Rb1 0.000 0.000 0.500
Sb1 0.000 0.500 0.000
W1 0.500 0.500 0.500
Rb2 0.500 0.000 0.000
C1 0.000 0.000 0.000
# - Raw formation energy: 1.839 eV/atom
# - Space group: P4/mmm
# - Volume: 36.07 A^3/atom
# - DFT total energy: -3.808 eV/atom
# - Size of the total moment: 0.98 μB/atom

=====

Record 12
# RbScC2 | Alexandria | PBE | relaxed
data_RbScC2
_cell_length_a 4.507
_cell_length_b 4.507
_cell_length_c 4.507
_cell_angle_alpha 60.00
_cell_angle_beta 60.00
_cell_angle_gamma 60.00
_symmetry_space_group_name_H-M 'P 1'
_symmetry_Int_Tables_number 1
loop_
_symmetry_equiv_pos_as_xyz
'x,y,z'
loop_
_atom_site_label
_atom_site_fract_x
_atom_site_fract_y
_atom_site_fract_z
Sc1 0.000 0.000 0.000
C1 0.250 0.250 0.250
C2 0.750 0.750 0.750
Rb1 0.500 0.500 0.500
# - Formation energy: 2027.6 meV per atom
# - Space group: Fm-3m
# - Volume: 16.18 A^3/atom
# - DFT total energy: -4.409 eV/atom
# - Size of the total moment: 0.00 μB/atom

=====

Record 13
# RbScC3 | Alexandria | PBE | relaxed
data_RbScC3
_cell_length_a 4.332
_cell_length_b 4.332
_cell_length_c 4.332
_cell_angle_alpha 90.00
_cell_angle_beta 90.00
_cell_angle_gamma 90.00
_symmetry_space_group_name_H-M 'P 1'
_symmetry_Int_Tables_number 1
loop_
_symmetry_equiv_pos_as_xyz
'x,y,z'
loop_
_atom_site_label
_atom_site_fract_x
_atom_site_fract_y
_atom_site_fract_z
C1 0.000 0.500 0.000
Sc1 0.500 0.500 0.500
C2 0.000 0.000 0.500
Rb1 0.000 0.000 0.000
C3 0.500 0.000 0.000
# - Formation energy: 3597.1 meV per atom
# - Space group: Pm-3m
# - Volume: 16.26 A^3/atom
# - DFT total energy: -3.397 eV/atom
# - Size of the total moment: 0.00 μB/atom